The following is a GGA-PBE calculation of a relaxed ThMnFeSi2 crystal, from Alexandria.

Summary:
The value obtained for the uncorrected formation energy is -0.629 eV/atom. As for the density: 8.2 g cm⁻³. The value obtained for the density of states at the Fermi level is 9.615 states/eV per cell.

Structure (CIF):
```
data_ThMnFeSi2
_chemical_formula_sum 'Th2 Mn2 Fe2 Si4'
_space_group_name_H-M_alt 'I -4 m 2'
_space_group_IT_number 119
_space_group_name_Hall 'I -4 -2'
_cell_length_a 4.0300
_cell_length_b 4.0300
_cell_length_c 9.9221
_cell_angle_alpha 90.00
_cell_angle_beta 90.00
_cell_angle_gamma 90.00
loop_
_atom_site_label
_atom_site_type_symbol
_atom_site_fract_x
_atom_site_fract_y
_atom_site_fract_z
Th1 Th 0.0000 0.0000 0.0000
Mn1 Mn 0.0000 0.5000 0.2500
Fe1 Fe 0.0000 0.5000 0.7500
Si1 Si 0.0000 0.0000 0.3690
```